Record 1
The following is a PBE-GGA calculation of a relaxed structure of KCu2Pt, from the Alexandria database.

a = 4.879 Å, b = 4.879 Å, c = 17.075 Å
α = 90.00°, β = 90.00°, γ = 90.00°
Space group I4_1/amd (No. 141, origin choice 2)
Symmetry-distinct sites (fractional):
K 0.000 0.250 0.375
Cu 0.000 0.000 0.000
Pt 0.000 0.250 0.875

Crystal system: tetragonal
Offset from the most stable computed form: 0.097 eV per atom
E_tot: -57.2 eV per cell
Calculated formation energy: 100.0 kJ/mol of formula units
Spin magnetization: 0.00 μB/cell



Record 2
The following is a PBE-GGA calculation of a relaxed structure of KCuPt, from the Alexandria database.

a = 8.390 Å, b = 2.836 Å, c = 13.020 Å
α = 90.00°, β = 107.67°, γ = 90.00°
Space group C2/m (No. 12)
Symmetry-distinct sites (fractional):
K 0.046 0.000 0.319
Cu 0.113 0.500 0.940
Pt 0.201 0.500 0.147

Crystal system: monoclinic
Offset from the most stable computed form: 0.216 eV per atom
E_tot: -42.7 eV per cell
Calculated formation energy: 54.5 kJ/mol of formula units
Spin magnetization: 0.00 μB/cell



Record 3
The following is a PBE-GGA calculation of a relaxed structure of KCuPt2, from the Alexandria database.

a = 5.659 Å, b = 9.142 Å, c = 2.737 Å
α = 90.00°, β = 90.00°, γ = 90.00°
Space group Cmmm (No. 65)
Symmetry-distinct sites (fractional):
K 0.000 0.000 0.000
Cu 0.000 0.500 0.000
Pt 0.250 0.250 0.500

Crystal system: orthorhombic
Offset from the most stable computed form: 0.244 eV per atom
E_tot: -32.0 eV per cell
Calculated formation energy: 123.5 kJ/mol of formula units
Spin magnetization: 0.00 μB/cell



Record 4
The following is a PBE-GGA calculation of a relaxed structure of KCuPt2, from the Alexandria database.

a = 3.210 Å, b = 3.210 Å, c = 7.746 Å
α = 90.00°, β = 90.00°, γ = 90.00°
Space group P4mm (No. 99)
Symmetry-distinct sites (fractional):
K 0.000 0.000 0.000
Cu 0.500 0.500 0.667
Pt 0.000 0.000 0.523
Pt 0.500 0.500 0.315

Crystal system: tetragonal
Offset from the most stable computed form: 0.122 eV per atom
E_tot: -16.5 eV per cell
Calculated formation energy: 76.3 kJ/mol of formula units
Spin magnetization: 0.00 μB/cell



Record 5
The following is a PBE-GGA calculation of a relaxed structure of KCu2Pt, from the Alexandria database.

a = 8.810 Å, b = 2.870 Å, c = 6.424 Å
α = 90.00°, β = 96.25°, γ = 90.00°
Space group C2/m (No. 12)
Symmetry-distinct sites (fractional):
K 0.000 0.000 0.000
Cu 0.231 0.000 0.648
Pt 0.000 0.500 0.500

Crystal system: monoclinic
Offset from the most stable computed form: 0.000 eV per atom
E_tot: -29.4 eV per cell
Calculated formation energy: 62.7 kJ/mol of formula units
Spin magnetization: 0.00 μB/cell



Record 6
The following is a PBE-GGA calculation of a relaxed structure of KCuPt2, from the Alexandria database.

a = 2.768 Å, b = 3.903 Å, c = 7.371 Å
α = 90.00°, β = 90.00°, γ = 90.00°
Space group Pmm2 (No. 25)
Symmetry-distinct sites (fractional):
K 0.000 0.000 0.000
Cu 0.500 0.500 0.663
Pt 0.000 0.000 0.517
Pt 0.500 0.500 0.315

Crystal system: orthorhombic
Offset from the most stable computed form: 0.054 eV per atom
E_tot: -16.8 eV per cell
Calculated formation energy: 50.2 kJ/mol of formula units
Spin magnetization: 0.00 μB/cell



Record 7
The following is a PBE-GGA calculation of a relaxed structure of KCuPt2, from the Alexandria database.

a = 10.075 Å, b = 2.887 Å, c = 6.344 Å
α = 90.00°, β = 112.71°, γ = 90.00°
Space group Cm (No. 8)
Symmetry-distinct sites (fractional):
K 0.000 0.000 0.000
Cu 0.316 0.500 0.290
Pt 0.022 0.500 0.545
Pt 0.242 0.000 0.554

Crystal system: monoclinic
Offset from the most stable computed form: 0.037 eV per atom
E_tot: -33.6 eV per cell
Calculated formation energy: 43.5 kJ/mol of formula units
Spin magnetization: 0.00 μB/cell



Record 8
The following is a PBE-GGA calculation of a relaxed structure of KCuPt, from the Alexandria database.

a = 3.468 Å, b = 3.468 Å, c = 11.429 Å
α = 90.00°, β = 90.00°, γ = 90.00°
Space group I4mm (No. 107)
Symmetry-distinct sites (fractional):
K 0.000 0.000 0.000
Cu 0.000 0.000 0.733
Pt 0.000 0.000 0.276

Crystal system: tetragonal
Offset from the most stable computed form: 0.107 eV per atom
E_tot: -22.0 eV per cell
Calculated formation energy: 23.1 kJ/mol of formula units
Spin magnetization: 0.00 μB/cell



Record 9
The following is a PBE-GGA calculation of a relaxed structure of KCu2Pt, from the Alexandria database.

a = 3.051 Å, b = 3.051 Å, c = 7.859 Å
α = 90.00°, β = 90.00°, γ = 90.00°
Space group P4mm (No. 99)
Symmetry-distinct sites (fractional):
K 0.000 0.000 0.000
Cu 0.000 0.000 0.505
Cu 0.500 0.500 0.662
Pt 0.500 0.500 0.316

Crystal system: tetragonal
Offset from the most stable computed form: 0.042 eV per atom
E_tot: -14.5 eV per cell
Calculated formation energy: 79.0 kJ/mol of formula units
Spin magnetization: 0.00 μB/cell



Record 10
The following is a PBE-GGA calculation of a relaxed structure of KCu3Pt, from the Alexandria database.

a = 4.854 Å, b = 4.854 Å, c = 4.854 Å
α = 90.00°, β = 90.00°, γ = 90.00°
Space group Pm-3m (No. 221)
Symmetry-distinct sites (fractional):
K 0.000 0.000 0.000
Cu 0.000 0.500 0.500
Pt 0.500 0.500 0.500

Crystal system: cubic
Offset from the most stable computed form: 0.000 eV per atom
E_tot: -17.5 eV per cell
Calculated formation energy: 190.3 kJ/mol of formula units
Spin magnetization: 0.00 μB/cell



Record 11
The following is a PBE-GGA calculation of a relaxed structure of KCuPt2, from the Alexandria database.

a = 2.859 Å, b = 2.859 Å, c = 8.715 Å
α = 90.00°, β = 90.00°, γ = 90.00°
Space group P4/mmm (No. 123)
Symmetry-distinct sites (fractional):
K 0.000 0.000 0.000
Cu 0.000 0.000 0.500
Pt 0.500 0.500 0.303

Crystal system: tetragonal
Offset from the most stable computed form: 0.000 eV per atom
E_tot: -17.0 eV per cell
Calculated formation energy: 29.3 kJ/mol of formula units
Spin magnetization: 0.00 μB/cell



Record 12
The following is a PBE-GGA calculation of a relaxed structure of KCuPt, from the Alexandria database.

a = 2.9150 Å, b = 2.9150 Å, c = 7.6426 Å
α = 90.00°, β = 90.00°, γ = 120.00°
Space group P3m1 (No. 156)
Symmetry-distinct sites (fractional):
K 0.0000 0.0000 0.0000
Cu 0.3333 0.6667 0.6250
Pt 0.6667 0.3333 0.3535

Crystal system: trigonal
Offset from the most stable computed form: 0.435 eV per atom
E_tot: -10.0 eV per cell
Calculated formation energy: 117.9 kJ/mol of formula units
Spin magnetization: 0.00 μB/cell



Record 13
The following is a PBE-GGA calculation of a relaxed structure of KCu2Pt, from the Alexandria database.

a = 6.551 Å, b = 6.551 Å, c = 6.551 Å
α = 90.00°, β = 90.00°, γ = 90.00°
Space group Fm-3m (No. 225)
Symmetry-distinct sites (fractional):
K 0.000 0.000 0.000
Cu 0.250 0.250 0.250
Pt 0.000 0.000 0.500

Crystal system: cubic
Offset from the most stable computed form: 0.289 eV per atom
E_tot: -54.1 eV per cell
Calculated formation energy: 174.3 kJ/mol of formula units
Spin magnetization: 0.00 μB/cell



Record 14
The following is a PBE-GGA calculation of a relaxed structure of KCu2Pt, from the Alexandria database.

a = 2.755 Å, b = 5.099 Å, c = 10.201 Å
α = 90.00°, β = 90.00°, γ = 90.00°
Space group Imm2 (No. 44)
Symmetry-distinct sites (fractional):
K 0.000 0.000 0.000
Cu 0.000 0.000 0.506
Cu 0.000 0.500 0.211
Pt 0.000 0.500 0.792

Crystal system: orthorhombic
Offset from the most stable computed form: 0.133 eV per atom
E_tot: -28.3 eV per cell
Calculated formation energy: 114.0 kJ/mol of formula units
Spin magnetization: 0.00 μB/cell



Record 15
The following is a PBE-GGA calculation of a relaxed structure of KCuPt2, from the Alexandria database.

a = 6.587 Å, b = 6.587 Å, c = 6.587 Å
α = 90.00°, β = 90.00°, γ = 90.00°
Space group Fm-3m (No. 225)
Symmetry-distinct sites (fractional):
K 0.000 0.000 0.000
Cu 0.000 0.000 0.500
Pt 0.250 0.250 0.250

Crystal system: cubic
Offset from the most stable computed form: 0.520 eV per atom
E_tot: -59.6 eV per cell
Calculated formation energy: 229.8 kJ/mol of formula units
Spin magnetization: 0.00 μB/cell



Record 16
The following is a PBE-GGA calculation of a relaxed structure of KCuPt, from the Alexandria database.

a = 6.500 Å, b = 6.500 Å, c = 6.500 Å
α = 90.00°, β = 90.00°, γ = 90.00°
Space group F-43m (No. 216)
Symmetry-distinct sites (fractional):
K 0.000 0.000 0.000
Cu 0.250 0.250 0.250
Pt 0.000 0.000 0.500

Crystal system: cubic
Offset from the most stable computed form: 0.578 eV per atom
E_tot: -38.3 eV per cell
Calculated formation energy: 159.4 kJ/mol of formula units
Spin magnetization: 0.00 μB/cell



Record 17
The following is a PBE-GGA calculation of a relaxed structure of KCuPt, from the Alexandria database.

a = 5.535 Å, b = 5.538 Å, c = 7.608 Å
α = 90.00°, β = 90.00°, γ = 90.00°
Space group Imma (No. 74)
Symmetry-distinct sites (fractional):
K 0.000 0.250 0.126
Cu 0.250 0.250 0.750
Pt 0.000 0.000 0.500

Crystal system: orthorhombic
Offset from the most stable computed form: 0.000 eV per atom
E_tot: -45.3 eV per cell
Calculated formation energy: -7.9 kJ/mol of formula units
Spin magnetization: 0.00 μB/cell



Record 18
The following is a PBE-GGA calculation of a relaxed structure of KCuPt2, from the Alexandria database.

a = 4.575 Å, b = 4.575 Å, c = 6.912 Å
α = 90.00°, β = 90.00°, γ = 90.00°
Space group I-4m2 (No. 119)
Symmetry-distinct sites (fractional):
K 0.000 0.000 0.000
Cu 0.000 0.500 0.250
Pt 0.000 0.000 0.500
Pt 0.000 0.500 0.750

Crystal system: tetragonal
Offset from the most stable computed form: 0.410 eV per atom
E_tot: -30.7 eV per cell
Calculated formation energy: 187.5 kJ/mol of formula units
Spin magnetization: 0.00 μB/cell



Record 19
The following is a PBE-GGA calculation of a relaxed structure of KCuPt, from the Alexandria database.

a = 6.736 Å, b = 6.736 Å, c = 6.736 Å
α = 90.00°, β = 90.00°, γ = 90.00°
Space group F-43m (No. 216)
Symmetry-distinct sites (fractional):
K 0.000 0.000 0.000
Cu 0.250 0.250 0.250
Pt 0.250 0.250 0.750

Crystal system: cubic
Offset from the most stable computed form: 1.224 eV per atom
E_tot: -30.6 eV per cell
Calculated formation energy: 346.4 kJ/mol of formula units
Spin magnetization: 0.00 μB/cell



Record 20
The following is a PBE-GGA calculation of a relaxed structure of KCuPt4, from the Alexandria database.

a = 7.607 Å, b = 7.607 Å, c = 7.607 Å
α = 90.00°, β = 90.00°, γ = 90.00°
Space group F-43m (No. 216)
Symmetry-distinct sites (fractional):
K 0.000 0.000 0.000
Cu 0.250 0.250 0.250
Pt 0.125 0.125 0.625

Crystal system: cubic
E_tot: -115.9 eV per cell
Calculated formation energy: 36.9 kJ/mol of formula units
Spin magnetization: 0.00 μB/cell